1.
A relaxed SrLi2InBi2 crystal, computed with GGA-PBE.

```
SrLi2InBi2
1.0
4.7412 0.0000 0.0000
0.0000 8.0139 0.0000
0.0000 0.0000 9.0716
Bi Li In Sr
4 4 2 2
Direct
0.0000 0.7428 0.1060 Bi
0.5000 0.7616 0.6648 Bi
0.0000 0.2428 0.8940 Bi
0.5000 0.2616 0.3352 Bi
0.0000 0.8851 0.8152 Li
0.5000 0.5329 0.9458 Li
0.0000 0.3851 0.1848 Li
0.5000 0.0329 0.0542 Li
0.5000 0.1521 0.6969 In
0.5000 0.6521 0.3031 In
0.0000 0.9711 0.4248 Sr
0.0000 0.4711 0.5752 Sr
```

As for the space-group type: Pmc2_1, No. 26. Its density is 6.111 g/cm3. The density of states at the Fermi level is 0.2734 states/eV/atom. The calculated formation energy comes out at -0.47 eV/atom. The total magnetic moment is 0.00 μB per atom.

---

2.
A relaxed Sr2LiInBi2 crystal, computed with GGA-PBE.

```
Sr2LiInBi2
1.0
-3.9090 -3.3654 -4.6902
-3.6788 -2.6983 5.0022
-1.4419 9.5668 -0.4815
Li Bi Sr In
2 4 4 2
Direct
0.0000 0.2500 0.0000 Li
0.0000 0.7500 0.0000 Li
0.0810 0.8748 0.7495 Bi
0.9190 0.1252 0.2505 Bi
0.6685 0.3748 0.7495 Bi
0.3315 0.6252 0.2505 Bi
0.5492 0.8323 0.6646 Sr
0.4508 0.1677 0.3354 Sr
0.8846 0.6677 0.3354 Sr
0.1154 0.3323 0.6646 Sr
0.5000 0.2500 0.0000 In
0.5000 0.7500 0.0000 In
```

As for the space-group type: Ibam, No. 72. Its density is 6.003 g/cm3. The density of states at the Fermi level is 0.3019 states/eV/atom. The calculated formation energy comes out at -0.60 eV/atom. The total magnetic moment is 0.00 μB per atom.

---

3.
A relaxed Sr2Li4InBi3 crystal, computed with GGA-PBE.

```
Sr2Li4InBi3
1.0
4.6593 0.0000 0.0000
0.0000 4.6593 0.0000
0.0000 0.0000 12.3873
In Sr Li Bi
1 2 4 3
Direct
0.5000 0.5000 0.5000 In
0.0000 0.5000 0.7600 Sr
0.5000 0.0000 0.2400 Sr
0.5000 0.5000 0.0000 Li
0.5000 0.0000 0.6412 Li
0.0000 0.0000 0.0000 Li
0.0000 0.5000 0.3588 Li
0.0000 0.0000 0.5000 Bi
0.0000 0.5000 0.1383 Bi
0.5000 0.0000 0.8617 Bi
```

As for the space-group type: P-4m2, No. 115. Its density is 5.834 g/cm3. The density of states at the Fermi level is 0.5261 states/eV/atom. The calculated formation energy comes out at -0.58 eV/atom. The total magnetic moment is 0.00 μB per atom.

---

4.
A relaxed Sr3Li2In2Bi4 crystal, computed with GGA-PBE.

```
Sr3Li2In2Bi4
1.0
-1.4004 3.8598 3.1339
0.9137 -4.6994 1.9394
14.9830 3.7633 2.0601
Bi Sr In Li
4 3 2 2
Direct
0.6667 0.3333 0.6222 Bi
0.6667 0.3333 0.1300 Bi
0.3333 0.6667 0.8700 Bi
0.3333 0.6667 0.3778 Bi
0.0000 0.0000 0.0000 Sr
0.0000 0.0000 0.7347 Sr
0.0000 0.0000 0.2653 Sr
0.3333 0.6667 0.5724 In
0.6667 0.3333 0.4276 In
0.3333 0.6667 0.1278 Li
0.6667 0.3333 0.8722 Li
```

As for the space-group type: P-3m1, No. 164. Its density is 6.190 g/cm3. The density of states at the Fermi level is 0.2039 states/eV/atom. The calculated formation energy comes out at -0.56 eV/atom. The total magnetic moment is 0.00 μB per atom.

---

5.
A relaxed LiInBi2Te crystal, computed with GGA-PBE.

```
LiInBi2Te
1.0
-4.6283 -2.4500 -0.5677
2.4607 -4.4311 -0.9388
-0.0418 -1.1140 5.1482
Bi Te In Li
2 1 1 1
Direct
0.5000 0.0000 0.0000 Bi
0.0000 0.0000 0.5000 Bi
0.5000 0.5000 0.5000 Te
0.0000 0.5000 0.0000 In
0.0000 0.0000 0.0000 Li
```

As for the space-group type: P4/mmm, No. 123. Its density is 7.748 g/cm3. The formation energy from raw total energies comes out at 0.150 eV/atom. The density of states at the Fermi level is 0.7388 states/eV/atom. The total magnetic moment is 0.00 μB per atom.

---

6.
A relaxed Li2TlIn2Bi2 crystal, computed with GGA-PBE.

```
Li2TlIn2Bi2
1.0
-5.0402 -1.1136 -0.8677
-2.2769 -3.9721 2.5366
-4.5907 3.3692 6.5554
Li Tl Bi In
2 1 2 2
Direct
0.1374 0.1374 0.5877 Li
0.8626 0.8626 0.4123 Li
0.0000 0.0000 0.0000 Tl
0.2614 0.2614 0.2157 Bi
0.7386 0.7386 0.7843 Bi
0.5604 0.5604 0.3188 In
0.4396 0.4396 0.6812 In
```

As for the space-group type: R-3m, No. 166. Its density is 7.444 g/cm3. The density of states at the Fermi level is 0.3953 states/eV/atom. The calculated formation energy comes out at -0.15 eV/atom. The total magnetic moment is 0.00 μB per atom.